(1)
The following is a PBE calculation of crystalline FeAg3 at its relaxed geometry, from Alexandria.

Lattice parameters (Å, degrees): 6.267 4.624 8.120 90.00 163.55 90.00
Each line ends with the local moment (μB).
Fractional coordinates of all 4 atoms:
Ag 0.509 0.000 0.018  0.01
Ag 0.991 0.000 0.982  0.01
Ag 0.750 0.500 0.000  0.00
Fe 0.250 0.500 0.000  2.99

Fermi-level density of states = 2.79 states/eV/f.u.
E_form = 0.3289 eV/atom



(2)
The following is a PBE calculation of crystalline FeAg4 at its relaxed geometry, from Alexandria.

Lattice parameters (Å, degrees): 7.479 7.479 7.479 151.17 151.17 41.23
Each line ends with the local moment (μB).
Fractional coordinates of all 5 atoms:
Ag 0.594 0.594 0.000  0.00
Ag 0.406 0.406 0.000  0.00
Ag 0.250 0.750 0.500  0.00
Ag 0.750 0.250 0.500  0.00
Fe 0.000 0.000 0.000  3.18

polymorph energy (0 for the lowest one) = 0.329 eV/atom
Fermi-level density of states = 5.28 states/eV/f.u.
E_form = 0.5972 eV/atom



(3)
The following is a PBE calculation of crystalline Fe2Ag at its relaxed geometry, from Alexandria.

Lattice parameters (Å, degrees): 6.459 2.888 8.922 90.00 90.00 90.00
Each line ends with the local moment (μB).
Fractional coordinates of all 12 atoms:
Fe 0.870 0.750 0.765  2.70
Fe 0.410 0.750 0.103  2.63
Fe 0.590 0.250 0.897  2.63
Fe 0.130 0.250 0.235  2.70
Fe 0.630 0.250 0.265  2.70
Fe 0.910 0.750 0.397  2.63
Fe 0.090 0.250 0.603  2.63
Fe 0.370 0.750 0.735  2.70
Ag 0.652 0.250 0.575  0.03
Ag 0.348 0.750 0.425  0.03
Ag 0.848 0.750 0.075  0.03
Ag 0.152 0.250 0.925  0.03

Fermi-level density of states = 2.08 states/eV/f.u.
E_form = 0.3399 eV/atom